# PBEsol TcRuPb2, optimized geometry
# Offset from the most stable computed form = 518.1 meV/atom
# Formation enthalpy at 0 K = 324 kJ/mol of formula units
# Fermi-level density of states = 1.08 states/eV/atom
# Theoretical density = 13.431 g/cm³
# Magnetic moment = 0.0 Bohr magnetons per cell
data_TcRuPb2
_chemical_formula_sum 'Tc2 Ru2 Pb4'
_space_group_name_H-M_alt 'C m m m'
_space_group_IT_number 65
_space_group_name_Hall '-C 2 2'
_cell_length_a 3.3056
_cell_length_b 5.3177
_cell_length_c 8.6295
_cell_angle_alpha 90.00
_cell_angle_beta 90.00
_cell_angle_gamma 90.00
loop_
_atom_site_label
_atom_site_fract_x
_atom_site_fract_y
_atom_site_fract_z
Tc1 0.0000 0.0000 0.0000
Ru1 0.0000 0.0000 0.5000
Pb1 0.0000 0.5000 0.2530


# PBEsol TcRuPb2, optimized geometry
# Offset from the most stable computed form = 286.0 meV/atom
# Formation enthalpy at 0 K = 234 kJ/mol of formula units
# Fermi-level density of states = 1.05 states/eV/atom
# Theoretical density = 14.286 g/cm³
# Magnetic moment = 0.0 Bohr magnetons per cell
data_TcRuPb2
_chemical_formula_sum 'Tc1 Ru1 Pb2'
_space_group_name_H-M_alt 'P 4/m m m'
_space_group_IT_number 123
_space_group_name_Hall '-P 4 2'
_cell_length_a 4.6585
_cell_length_b 4.6585
_cell_length_c 3.2857
_cell_angle_alpha 90.00
_cell_angle_beta 90.00
_cell_angle_gamma 90.00
loop_
_atom_site_label
_atom_site_fract_x
_atom_site_fract_y
_atom_site_fract_z
Tc1 0.0000 0.0000 0.0000
Ru1 0.5000 0.5000 0.0000
Pb1 0.0000 0.5000 0.5000


# PBEsol Tc2RuPb, optimized geometry
# Formation enthalpy at 0 K = 228 kJ/mol of formula units
# Fermi-level density of states = 0.60 states/eV/atom
# Theoretical density = 13.213 g/cm³
# Magnetic moment = 7.7 Bohr magnetons per cell
data_Tc2RuPb
_chemical_formula_sum 'Tc8 Ru4 Pb4'
_space_group_name_H-M_alt 'F -4 3 m'
_space_group_IT_number 216
_space_group_name_Hall 'F -4 2 3'
_cell_length_a 6.3288
_cell_length_b 6.3288
_cell_length_c 6.3288
_cell_angle_alpha 90.00
_cell_angle_beta 90.00
_cell_angle_gamma 90.00
loop_
_atom_site_label
_atom_site_fract_x
_atom_site_fract_y
_atom_site_fract_z
Tc1 0.0000 0.0000 0.0000
Tc2 0.2500 0.2500 0.2500
Ru1 0.0000 0.0000 0.5000
Pb1 0.2500 0.2500 0.7500


# PBEsol TcRuPb2, optimized geometry
# Offset from the most stable computed form = 0.0 meV/atom
# Formation enthalpy at 0 K = 124 kJ/mol of formula units
# Fermi-level density of states = 0.71 states/eV/atom
# Theoretical density = 12.377 g/cm³
# Magnetic moment = 0.0 Bohr magnetons per cell
data_TcRuPb2
_chemical_formula_sum 'Tc1 Ru1 Pb2'
_space_group_name_H-M_alt 'P 4 m m'
_space_group_IT_number 99
_space_group_name_Hall 'P 4 -2'
_cell_length_a 2.9942
_cell_length_b 2.9942
_cell_length_c 9.1804
_cell_angle_alpha 90.00
_cell_angle_beta 90.00
_cell_angle_gamma 90.00
loop_
_atom_site_label
_atom_site_fract_x
_atom_site_fract_y
_atom_site_fract_z
Tc1 0.0000 0.0000 0.0000
Ru1 0.5000 0.5000 0.8422
Pb1 0.0000 0.0000 0.6077
Pb2 0.5000 0.5000 0.2407


# PBEsol TcRuPb2, optimized geometry
# Offset from the most stable computed form = 599.9 meV/atom
# Formation enthalpy at 0 K = 355 kJ/mol of formula units
# Fermi-level density of states = 1.22 states/eV/atom
# Theoretical density = 13.418 g/cm³
# Magnetic moment = 5.4 Bohr magnetons per cell
data_TcRuPb2
_chemical_formula_sum 'Tc4 Ru4 Pb8'
_space_group_name_H-M_alt 'F -4 3 m'
_space_group_IT_number 216
_space_group_name_Hall 'F -4 2 3'
_cell_length_a 6.7217
_cell_length_b 6.7217
_cell_length_c 6.7217
_cell_angle_alpha 90.00
_cell_angle_beta 90.00
_cell_angle_gamma 90.00
loop_
_atom_site_label
_atom_site_fract_x
_atom_site_fract_y
_atom_site_fract_z
Tc1 0.0000 0.0000 0.0000
Ru1 0.2500 0.2500 0.7500
Pb1 0.0000 0.0000 0.5000
Pb2 0.2500 0.2500 0.2500


# PBEsol Tc2RuPb, optimized geometry
# Formation enthalpy at 0 K = 199 kJ/mol of formula units
# Fermi-level density of states = 0.99 states/eV/atom
# Theoretical density = 13.020 g/cm³
# Magnetic moment = 0.0 Bohr magnetons per cell
data_Tc2RuPb
_chemical_formula_sum 'Tc4 Ru2 Pb2'
_space_group_name_H-M_alt 'C 1 m 1'
_space_group_IT_number 8
_space_group_name_Hall 'C -2y'
_cell_length_a 9.0410
_cell_length_b 2.9605
_cell_length_c 4.9364
_cell_angle_alpha 90.00
_cell_angle_beta 103.22
_cell_angle_gamma 90.00
loop_
_atom_site_label
_atom_site_fract_x
_atom_site_fract_y
_atom_site_fract_z
Tc1 0.0000 0.0000 0.0000
Tc2 0.2334 0.5000 0.1469
Ru1 0.4754 0.0000 0.4191
Pb1 0.2364 0.0000 0.6627


# PBEsol Tc2RuPb, optimized geometry
# Formation enthalpy at 0 K = 219 kJ/mol of formula units
# Fermi-level density of states = 1.48 states/eV/atom
# Theoretical density = 13.186 g/cm³
# Magnetic moment = 0.0 Bohr magnetons per cell
data_Tc2RuPb
_chemical_formula_sum 'Tc2 Ru1 Pb1'
_space_group_name_H-M_alt 'P 4/m m m'
_space_group_IT_number 123
_space_group_name_Hall '-P 4 2'
_cell_length_a 2.8944
_cell_length_b 2.8944
_cell_length_c 7.5802
_cell_angle_alpha 90.00
_cell_angle_beta 90.00
_cell_angle_gamma 90.00
loop_
_atom_site_label
_atom_site_fract_x
_atom_site_fract_y
_atom_site_fract_z
Tc1 0.0000 0.0000 0.2231
Ru1 0.5000 0.5000 0.0000
Pb1 0.5000 0.5000 0.5000


# PBEsol TeRuPb2, optimized geometry
# ΔE_f (raw) = 114 meV/atom
# Fermi-level density of states = 0.75 states/eV/atom
# Theoretical density = 11.137 g/cm³
# Magnetic moment = 0.3 Bohr magnetons per cell
data_TeRuPb2
_chemical_formula_sum 'Te1 Ru1 Pb2'
_space_group_name_H-M_alt 'P 4 m m'
_space_group_IT_number 99
_space_group_name_Hall 'P 4 -2'
_cell_length_a 3.2444
_cell_length_b 3.2444
_cell_length_c 9.1092
_cell_angle_alpha 90.00
_cell_angle_beta 90.00
_cell_angle_gamma 90.00
loop_
_atom_site_label
_atom_site_fract_x
_atom_site_fract_y
_atom_site_fract_z
Te1 0.0000 0.0000 0.0000
Ru1 0.5000 0.5000 0.8495
Pb1 0.0000 0.0000 0.6222
Pb2 0.5000 0.5000 0.3194


# PBEsol TeRuPb2, optimized geometry
# ΔE_f (raw) = 541 meV/atom
# Fermi-level density of states = 0.78 states/eV/atom
# Theoretical density = 11.533 g/cm³
# Magnetic moment = 0.0 Bohr magnetons per cell
data_TeRuPb2
_chemical_formula_sum 'Te2 Ru2 Pb4'
_space_group_name_H-M_alt 'I 4/m m m'
_space_group_IT_number 139
_space_group_name_Hall '-I 4 2'
_cell_length_a 4.4164
_cell_length_b 4.4164
_cell_length_c 9.4940
_cell_angle_alpha 90.00
_cell_angle_beta 90.00
_cell_angle_gamma 90.00
loop_
_atom_site_label
_atom_site_fract_x
_atom_site_fract_y
_atom_site_fract_z
Te1 0.0000 0.0000 0.0000
Ru1 0.0000 0.0000 0.5000
Pb1 0.0000 0.5000 0.2500


# PBEsol TeRuPb2, optimized geometry
# ΔE_f (raw) = 237 meV/atom
# Fermi-level density of states = 0.78 states/eV/atom
# Theoretical density = 10.869 g/cm³
# Magnetic moment = 0.0 Bohr magnetons per cell
data_TeRuPb2
_chemical_formula_sum 'Te2 Ru2 Pb4'
_space_group_name_H-M_alt 'I m m m'
_space_group_IT_number 71
_space_group_name_Hall '-I 2 2'
_cell_length_a 3.2931
_cell_length_b 4.5260
_cell_length_c 13.1837
_cell_angle_alpha 90.00
_cell_angle_beta 90.00
_cell_angle_gamma 90.00
loop_
_atom_site_label
_atom_site_fract_x
_atom_site_fract_y
_atom_site_fract_z
Te1 0.0000 0.0000 0.0000
Ru1 0.0000 0.0000 0.5000
Pb1 0.0000 0.5000 0.1783


# PBEsol TeRuPb2, optimized geometry
# ΔE_f (raw) = 580 meV/atom
# Fermi-level density of states = 1.11 states/eV/atom
# Theoretical density = 11.439 g/cm³
# Magnetic moment = 0.0 Bohr magnetons per cell
data_TeRuPb2
_chemical_formula_sum 'Te2 Ru2 Pb4'
_space_group_name_H-M_alt 'C 1 2/m 1'
_space_group_IT_number 12
_space_group_name_Hall '-C 2y'
_cell_length_a 6.3155
_cell_length_b 8.3142
_cell_length_c 3.5557
_cell_angle_alpha 90.00
_cell_angle_beta 90.43
_cell_angle_gamma 90.00
loop_
_atom_site_label
_atom_site_fract_x
_atom_site_fract_y
_atom_site_fract_z
Te1 0.0000 0.0000 0.0000
Ru1 0.0000 0.5000 0.0000
Pb1 0.2500 0.2500 0.5000


# PBEsol TiTl2RuPb, optimized geometry
# Formation enthalpy at 0 K = 319 kJ/mol of formula units
# Fermi-level density of states = 0.75 states/eV/atom
# Theoretical density = 9.978 g/cm³
# Magnetic moment = 0.0 Bohr magnetons per cell
data_TiTl2RuPb
_chemical_formula_sum 'Ti1 Tl2 Ru1 Pb1'
_space_group_name_H-M_alt 'P 4/m m m'
_space_group_IT_number 123
_space_group_name_Hall '-P 4 2'
_cell_length_a 5.3898
_cell_length_b 5.3898
_cell_length_c 4.3819
_cell_angle_alpha 90.00
_cell_angle_beta 90.00
_cell_angle_gamma 90.00
loop_
_atom_site_label
_atom_site_fract_x
_atom_site_fract_y
_atom_site_fract_z
Ti1 0.0000 0.0000 0.0000
Tl1 0.0000 0.5000 0.0000
Ru1 0.0000 0.0000 0.5000
Pb1 0.5000 0.5000 0.5000


# PBEsol TlRuPb2, optimized geometry
# Offset from the most stable computed form = 0.0 meV/atom
# Formation enthalpy at 0 K = 191 kJ/mol of formula units
# Fermi-level density of states = 0.76 states/eV/atom
# Theoretical density = 13.078 g/cm³
# Magnetic moment = 0.0 Bohr magnetons per cell
data_TlRuPb2
_chemical_formula_sum 'Tl1 Ru1 Pb2'
_space_group_name_H-M_alt 'P 1 m 1'
_space_group_IT_number 6
_space_group_name_Hall 'P -2y'
_cell_length_a 3.5955
_cell_length_b 4.7228
_cell_length_c 5.6754
_cell_angle_alpha 90.00
_cell_angle_beta 108.48
_cell_angle_gamma 90.00
loop_
_atom_site_label
_atom_site_fract_x
_atom_site_fract_y
_atom_site_fract_z
Tl1 0.0000 0.0000 0.0000
Ru1 0.8595 0.5000 0.7143
Pb1 0.2750 0.0000 0.5499
Pb2 0.5847 0.5000 0.1679


# PBEsol TlRuPb2, optimized geometry
# Offset from the most stable computed form = 167.0 meV/atom
# Formation enthalpy at 0 K = 256 kJ/mol of formula units
# Fermi-level density of states = 1.05 states/eV/atom
# Theoretical density = 13.103 g/cm³
# Magnetic moment = 0.0 Bohr magnetons per cell
data_TlRuPb2
_chemical_formula_sum 'Tl4 Ru4 Pb8'
_space_group_name_H-M_alt 'F -4 3 m'
_space_group_IT_number 216
_space_group_name_Hall 'F -4 2 3'
_cell_length_a 7.1460
_cell_length_b 7.1460
_cell_length_c 7.1460
_cell_angle_alpha 90.00
_cell_angle_beta 90.00
_cell_angle_gamma 90.00
loop_
_atom_site_label
_atom_site_fract_x
_atom_site_fract_y
_atom_site_fract_z
Tl1 0.0000 0.0000 0.0000
Ru1 0.2500 0.2500 0.2500
Pb1 0.0000 0.0000 0.5000
Pb2 0.2500 0.2500 0.7500


# PBEsol Ru3PbW, optimized geometry
# Formation enthalpy at 0 K = 729 kJ/mol of formula units
# Fermi-level density of states = 1.25 states/eV/atom
# Theoretical density = 11.408 g/cm³
# Magnetic moment = 0.0 Bohr magnetons per cell
data_Ru3PbW
_chemical_formula_sum 'Ru3 Pb1 W1'
_space_group_name_H-M_alt 'P m -3 m'
_space_group_IT_number 221
_space_group_name_Hall '-P 4 2 3'
_cell_length_a 4.6578
_cell_length_b 4.6578
_cell_length_c 4.6578
_cell_angle_alpha 90.00
_cell_angle_beta 90.00
_cell_angle_gamma 90.00
loop_
_atom_site_label
_atom_site_fract_x
_atom_site_fract_y
_atom_site_fract_z
Ru1 0.0000 0.0000 0.5000
Pb1 0.5000 0.5000 0.5000
W1 0.0000 0.0000 0.0000